Entry 1:
VASP calculation (meta-GGA SCAN) on a crystal of CaZrAg2Sn relaxed with PBEsol.

Calculated total energy in eV per cell: -134.3
N(E_F) in states/eV/f.u.: 2.8

```
CaZrAg2Sn
1.0
4.8603 0.0000 0.0000
0.0000 4.8603 0.0000
0.0000 0.0000 5.4438
Sn Ag Zr Ca
1 2 1 1
direct
0.0000 0.0000 0.5000
0.0000 0.5000 0.0000
0.5000 0.0000 0.0000
0.5000 0.5000 0.5000
0.0000 0.0000 0.0000
```



Entry 2:
VASP calculation (meta-GGA SCAN) on a crystal of SrCaAg4 relaxed with PBEsol.

Calculated total energy in eV per cell: -158.8
N(E_F) in states/eV/f.u.: 4.1

```
SrCaAg4
1.0
-4.7380 0.4271 -3.1847
0.3034 -0.6326 -5.6816
-2.2096 -4.6610 -2.4831
Sr Ag Ca
1 4 1
direct
0.0000 0.0000 0.0000
0.3755 0.3755 0.3755
0.3755 0.8735 0.3755
0.3755 0.3755 0.8735
0.8735 0.3755 0.3755
0.7500 0.7500 0.7500
```



Entry 3:
VASP calculation (meta-GGA SCAN) on a crystal of SrCa3Ag relaxed with PBEsol.

Calculated total energy in eV per cell: -83.2
N(E_F) in states/eV/f.u.: 3.7

```
SrCa3Ag
1.0
-3.0660 -4.3062 -2.4283
3.7242 -3.8910 2.1979
-3.2512 -0.3962 4.8076
Ca Ag Sr
3 1 1
direct
0.0000 0.0000 0.5000
0.5000 0.0000 0.0000
0.0000 0.5000 0.0000
0.0000 0.0000 0.0000
0.5000 0.5000 0.5000
```



Entry 4:
VASP calculation (meta-GGA SCAN) on a crystal of SrCa2Ag relaxed with PBEsol.

Calculated total energy in eV per cell: -73.5
N(E_F) in states/eV/f.u.: 3.0

```
SrCa2Ag
1.0
3.7696 0.0000 0.0000
0.0000 3.7696 0.0000
0.0000 0.0000 9.6463
Ag Ca Sr
1 2 1
direct
0.5000 0.5000 0.5000
0.0000 0.0000 0.6797
0.0000 0.0000 0.3203
0.5000 0.5000 0.0000
```



Entry 5:
VASP calculation (meta-GGA SCAN) on a crystal of SrCa2Ag relaxed with PBEsol.

Calculated total energy in eV per cell: -73.5
N(E_F) in states/eV/f.u.: 3.6

```
SrCa2Ag
1.0
-1.3165 3.4846 0.7318
-3.0693 -1.5094 1.6470
4.5263 -0.0515 8.3880
Ca Ag Sr
2 1 1
direct
0.5000 0.5000 0.7652
0.0000 0.0000 0.0608
0.5000 0.5000 0.2334
0.0000 0.0000 0.4406
```



Entry 6:
VASP calculation (meta-GGA SCAN) on a crystal of SrCa2Ag2 relaxed with PBEsol.

Calculated total energy in eV per cell: -211.3
N(E_F) in states/eV/f.u.: 3.9

```
SrCa2Ag2
1.0
4.2385 0.0000 0.0000
0.0000 8.2861 0.0000
0.0000 0.0000 8.2861
Ag Ca Sr
4 4 2
direct
0.0000 0.8767 0.6233
0.0000 0.6233 0.1233
0.0000 0.3767 0.8767
0.0000 0.1233 0.3767
0.5000 0.8394 0.3394
0.5000 0.3394 0.1606
0.5000 0.1606 0.6606
0.5000 0.6606 0.8394
0.0000 0.0000 0.0000
0.0000 0.5000 0.5000
```



Entry 7:
VASP calculation (meta-GGA SCAN) on a crystal of Sr3CaAg4 relaxed with PBEsol.

Calculated total energy in eV per cell: -613.7
N(E_F) in states/eV/f.u.: 4.0

```
Sr3CaAg4
1.0
-2.7648 0.6301 -3.7010
-1.2819 -6.0486 -0.0722
-18.7124 3.8605 14.6362
Ag Sr Ca
12 9 3
direct
0.0000 0.6421 0.1524
0.0000 0.3823 0.3262
0.0000 0.8558 0.6479
0.5000 0.1203 0.0144
0.0000 0.8673 0.9927
0.5000 0.3681 0.5093
0.5000 0.1442 0.3511
0.0000 0.1179 0.8210
0.0000 0.6320 0.4897
0.5000 0.8808 0.1774
0.5000 0.6175 0.6728
0.5000 0.3608 0.8441
0.5000 0.6388 0.3961
0.5000 0.8697 0.8944
0.0000 0.3654 0.9424
0.5000 0.1064 0.7234
0.0000 0.8936 0.2752
0.0000 0.6097 0.7708
0.5000 0.3930 0.2282
0.0000 0.3612 0.6028
0.0000 0.1357 0.1075
0.0000 0.1394 0.4427
0.5000 0.8606 0.5563
0.5000 0.6374 0.0613
```



Entry 8:
VASP calculation (meta-GGA SCAN) on a crystal of SrCa2Ag relaxed with PBEsol.

Calculated total energy in eV per cell: -73.5
N(E_F) in states/eV/f.u.: 3.5

```
SrCa2Ag
1.0
3.8329 0.0000 0.0000
0.0000 5.8675 0.0000
-1.9165 -2.9338 6.1224
Ca Sr Ag
2 1 1
direct
0.3045 0.3045 0.6091
0.6955 0.6955 0.3909
0.5000 0.0000 0.0000
0.0000 0.5000 0.0000
```